1.
First-principles (GGA-PBE) data for a relaxed NaNbRh2 crystal, as listed in Alexandria via LeMat-Bulk. Values from VASP.

The structure in Quantum ESPRESSO input format:
```
&SYSTEM
  ibrav = 0, nat = 8, ntyp = 3
/
ATOMIC_SPECIES
Nb 92.91 Nb.upf
Rh 102.91 Rh.upf
Na 22.99 Na.upf
CELL_PARAMETERS angstrom
7.0917 0.0000 0.0000
0.0000 7.0917 0.0000
3.5459 3.5459 2.9302
ATOMIC_POSITIONS crystal
Nb 0.0000 0.0000 0.0000
Nb 0.7500 0.2500 0.5000
Rh 0.6584 0.1250 0.2500
Rh 0.8750 0.9084 0.7500
Rh 0.0916 0.6250 0.2500
Rh 0.3750 0.3416 0.7500
Na 0.5000 0.5000 0.0000
Na 0.2500 0.7500 0.5000
```

Output
- energy of formation (eV/atom) = 0.271
- crystal system = tetragonal
- energy above the most stable polymorph in this dataset (meV per atom) = 421

---

2.
First-principles (GGA-PBE) data for a relaxed KTl2Si crystal, as listed in Alexandria via LeMat-Bulk. Values from VASP.

The structure in Quantum ESPRESSO input format:
```
&SYSTEM
  ibrav = 0, nat = 4, ntyp = 3
/
ATOMIC_SPECIES
Si 28.09 Si.upf
Tl 204.38 Tl.upf
K 39.10 K.upf
CELL_PARAMETERS angstrom
6.6816 0.0207 -0.0183
-3.1230 5.9069 -0.0183
0.6541 1.0895 2.8875
ATOMIC_POSITIONS crystal
Si 0.0000 0.5000 0.5000
Tl 0.5000 0.5000 0.0000
Tl 0.0000 0.0000 0.0000
K 0.5000 0.0000 0.5000
```

Output
- crystal system = monoclinic
- energy above the most stable polymorph in this dataset (meV per atom) = 217
- uncorrected formation energy (kJ/mol of atoms) = 32

---

3.
First-principles (GGA-PBE) data for a relaxed K3Cu2H7 crystal, as listed in Alexandria via LeMat-Bulk. Values from VASP.

The structure in Quantum ESPRESSO input format:
```
&SYSTEM
  ibrav = 0, nat = 12, ntyp = 3
/
ATOMIC_SPECIES
H 1.01 H.upf
Cu 63.55 Cu.upf
K 39.10 K.upf
CELL_PARAMETERS angstrom
3.6920 0.0000 0.0000
0.0000 3.8939 0.0000
0.0000 -1.9469 10.6416
ATOMIC_POSITIONS crystal
H 0.0000 0.5845 0.1690
H 0.0000 0.0000 0.0000
H 0.5000 0.0832 0.1664
H 0.0000 0.8346 0.6691
H 0.5000 0.9168 0.8336
H 0.0000 0.4155 0.8310
H 0.0000 0.1654 0.3309
Cu 0.0000 0.9143 0.8285
Cu 0.0000 0.0857 0.1715
K 0.5000 0.6723 0.3445
K 0.5000 0.3277 0.6555
K 0.5000 0.5000 0.0000
```

Output
- crystal system = orthorhombic
- energy above the most stable polymorph in this dataset (meV per atom) = 13

---

4.
First-principles (GGA-PBE) data for a relaxed K2SiRh crystal, as listed in Alexandria via LeMat-Bulk. Values from VASP.

The structure in Quantum ESPRESSO input format:
```
&SYSTEM
  ibrav = 0, nat = 4, ntyp = 3
/
ATOMIC_SPECIES
K 39.10 K.upf
Rh 102.91 Rh.upf
Si 28.09 Si.upf
CELL_PARAMETERS angstrom
4.9193 0.0000 0.0000
0.0000 8.1506 -0.3731
0.0000 7.4366 4.0671
ATOMIC_POSITIONS crystal
K 0.0000 0.3350 0.4040
K 0.0000 0.1650 0.0960
Rh 0.5000 0.2500 0.2500
Si 0.5000 0.7500 0.7500
```

Output
- crystal system = monoclinic
- uncorrected formation energy (kJ/mol of atoms) = 19

---

5.
First-principles (GGA-PBE) data for a relaxed TcSnSb2I crystal, as listed in Alexandria via LeMat-Bulk. Values from VASP.

The structure in Quantum ESPRESSO input format:
```
&SYSTEM
  ibrav = 0, nat = 5, ntyp = 4
/
ATOMIC_SPECIES
Sn 118.71 Sn.upf
Tc 98.00 Tc.upf
I 126.90 I.upf
Sb 121.76 Sb.upf
CELL_PARAMETERS angstrom
5.0929 0.0000 0.0000
0.0000 5.0929 0.0000
0.0000 0.0000 5.8432
ATOMIC_POSITIONS crystal
Sn 0.5000 0.5000 0.5000
Tc 0.0000 0.0000 0.0000
I 0.0000 0.0000 0.5000
Sb 0.0000 0.5000 0.0000
Sb 0.5000 0.0000 0.0000
```

Output
- crystal system = tetragonal
- energy above the most stable polymorph in this dataset (meV per atom) = 0
- uncorrected formation energy (kJ/mol of atoms) = 46

---

6.
First-principles (GGA-PBE) data for a relaxed CsLiCoH6 crystal, as listed in Alexandria via LeMat-Bulk. Values from VASP.

The structure in Quantum ESPRESSO input format:
```
&SYSTEM
  ibrav = 0, nat = 9, ntyp = 4
/
ATOMIC_SPECIES
Cs 132.91 Cs.upf
Li 6.94 Li.upf
H 1.01 H.upf
Co 58.93 Co.upf
CELL_PARAMETERS angstrom
-2.5365 -3.9655 1.6936
-2.1885 -3.9667 -1.9654
5.8140 -2.9420 0.5533
ATOMIC_POSITIONS crystal
Cs 0.9682 0.7683 0.0013
Li 0.7443 0.5181 0.4980
H 0.5621 0.3481 0.3267
H 0.3134 0.1288 0.3255
H 0.3181 0.1402 0.6566
H 0.5825 0.3470 0.6775
H 0.9287 0.7649 0.4914
H 0.1576 0.7127 0.5255
Co 0.4249 0.2719 0.4973
```

Output
- crystal system = triclinic
- VASP energy (Ha/atom) = -0.1274

---

7.
First-principles (GGA-PBE) data for a relaxed TaHg2Cl5 crystal, as listed in Alexandria via LeMat-Bulk. Values from VASP.

The structure in Quantum ESPRESSO input format:
```
&SYSTEM
  ibrav = 0, nat = 8, ntyp = 3
/
ATOMIC_SPECIES
Cl 35.45 Cl.upf
Hg 200.59 Hg.upf
Ta 180.95 Ta.upf
CELL_PARAMETERS angstrom
-5.4925 -1.4156 1.5449
-0.3646 -6.5092 3.9064
-1.9767 2.8350 6.7705
ATOMIC_POSITIONS crystal
Cl 0.7426 0.3218 0.9995
Cl 0.7430 0.0000 0.3223
Cl 0.0634 0.6778 0.0007
Cl 0.0643 0.9998 0.6779
Cl 0.3863 0.9997 0.9992
Hg 0.3595 0.5005 0.5002
Hg 0.8594 0.5005 0.5003
Ta 0.0045 0.9998 0.9999
```

Output
- crystal system = monoclinic
- uncorrected formation energy (kJ/mol of atoms) = -92

---

8.
First-principles (GGA-PBE) data for a relaxed CsCuS6 crystal, as listed in Alexandria via LeMat-Bulk. Values from VASP.

The structure in Quantum ESPRESSO input format:
```
&SYSTEM
  ibrav = 0, nat = 32, ntyp = 3
/
ATOMIC_SPECIES
S 32.06 S.upf
Cu 63.55 Cu.upf
Cs 132.91 Cs.upf
CELL_PARAMETERS angstrom
7.5672 0.0732 -0.0165
2.3859 11.0597 -0.1910
1.2591 2.9845 10.9115
ATOMIC_POSITIONS crystal
S 0.1988 0.7939 0.7281
S 0.2221 0.9164 0.4268
S 0.3634 0.6136 0.7601
S 0.6877 0.3846 0.5865
S 0.7140 0.7854 0.8841
S 0.8389 0.5917 0.2853
S 0.2860 0.2146 0.1159
S 0.8414 0.8943 0.9536
S 0.1586 0.1057 0.0464
S 0.1546 0.4024 0.0703
S 0.6006 0.2142 0.6459
S 0.3123 0.6154 0.4135
S 0.8454 0.5976 0.9297
S 0.2683 0.1023 0.8704
S 0.3994 0.7858 0.3541
S 0.7779 0.0836 0.5732
S 0.6366 0.3864 0.2399
S 0.7317 0.8977 0.1296
S 0.6792 0.0862 0.4060
S 0.8012 0.2061 0.2719
S 0.3208 0.9138 0.5940
S 0.1611 0.4083 0.7147
S 0.0948 0.2312 0.7485
S 0.9052 0.7688 0.2515
Cu 0.1393 0.5117 0.8680
Cu 0.3998 0.5049 0.6089
Cu 0.6002 0.4951 0.3911
Cu 0.8607 0.4883 0.1320
Cs 0.3249 0.6894 0.0716
Cs 0.8312 0.6946 0.5842
Cs 0.1688 0.3054 0.4158
Cs 0.6751 0.3106 0.9284
```

Output
- crystal system = triclinic
- energy above the most stable polymorph in this dataset (meV per atom) = 0
- uncorrected formation energy (kJ/mol of atoms) = -32

---

Number 1: total magnetic moment 0.00 μB per cell. Number 2: total magnetic moment 0.00 μB per cell. Number 3: total magnetic moment 0.00 μB per cell. Number 4: total magnetic moment 0.00 μB per cell. Number 5: total magnetic moment 0.00 μB per cell. Number 6: total magnetic moment 0.00 μB per cell. Number 7: total magnetic moment 0.32 μB per cell. Number 8: total magnetic moment 0.00 μB per cell.